Record 1
{"formula": "Tl2MoPb2", "functional": "PBE", "state": "optimized geometry", "spacegroup": "No. 127", "energy_ev_per_atom": -3.92, "n_ef_per_ev_atom": 0.5365, "polymorph_energy_mev_per_atom": 0, "formation_energy_mev_per_atom": 673, "cell": [[7.550, 0.000, 0.000], [0.000, 7.550, 0.000], [0.000, 0.000, 5.239]], "species": ["Tl", "Tl", "Tl", "Tl", "Mo", "Mo", "Pb", "Pb", "Pb", "Pb"], "frac_coords": [[0.168, 0.332, 0.000], [0.332, 0.832, 0.000], [0.668, 0.168, 0.000], [0.832, 0.668, 0.000], [0.000, 0.000, 0.500], [0.500, 0.500, 0.500], [0.150, 0.650, 0.500], [0.350, 0.150, 0.500], [0.650, 0.850, 0.500], [0.850, 0.350, 0.500]]}



Record 2
{"formula": "Mg2MnCrS", "functional": "PBE", "state": "optimized geometry", "spacegroup": "No. 123", "energy_ev_per_atom": -4.46, "formation_energy_uncorrected_ev_per_atom": 0.762, "n_ef_per_ev_atom": 0.8709, "cell": [[4.994, 0.000, 0.000], [0.000, 4.994, 0.000], [0.000, 0.000, 3.922]], "species": ["Mg", "Mg", "Mn", "Cr", "S"], "frac_coords": [[0.000, 0.500, 0.000], [0.500, 0.000, 0.000], [0.000, 0.000, 0.000], [0.000, 0.000, 0.500], [0.500, 0.500, 0.500]]}



Record 3
{"formula": "HfHPt3", "functional": "PBE", "state": "optimized geometry", "spacegroup": "No. 221", "energy_ev_per_atom": -6.85, "n_ef_per_ev_atom": 2.0033, "polymorph_energy_mev_per_atom": 0, "cell": [[4.108, 0.000, 0.000], [0.000, 4.108, 0.000], [0.000, 0.000, 4.108]], "species": ["Hf", "H", "Pt", "Pt", "Pt"], "frac_coords": [[0.000, 0.000, 0.000], [0.500, 0.500, 0.500], [0.000, 0.500, 0.500], [0.500, 0.000, 0.500], [0.500, 0.500, 0.000]]}



Record 4
{"formula": "MnOsSe", "functional": "PBE", "state": "optimized geometry", "spacegroup": "No. 42", "energy_ev_per_atom": -7.39, "formation_energy_uncorrected_ev_per_atom": 0.571, "n_ef_per_ev_atom": 0.7809, "polymorph_energy_mev_per_atom": 316, "cell": [[0.000, 2.351, 7.532], [1.449, 0.000, 7.532], [1.449, 2.351, 0.000]], "species": ["Mn", "Os", "Se"], "frac_coords": [[0.000, 0.000, 0.000], [0.634, 0.634, 0.366], [0.363, 0.363, 0.637]]}



Record 5
{"formula": "PmPa2Os", "functional": "PBE", "state": "optimized geometry", "spacegroup": "No. 123", "energy_ev_per_atom": -8.73, "n_ef_per_ev_atom": 1.8589, "polymorph_energy_mev_per_atom": 0, "formation_energy_mev_per_atom": 10, "cell": [[3.617, 0.000, 0.000], [0.000, 3.617, 0.000], [0.000, 0.000, 7.690]], "species": ["Pm", "Pa", "Pa", "Os"], "frac_coords": [[0.000, 0.000, 0.000], [0.500, 0.500, 0.312], [0.500, 0.500, 0.688], [0.000, 0.000, 0.500]]}



Record 6
{"formula": "SmPa2Tc9", "functional": "PBE", "state": "optimized geometry", "spacegroup": "No. 166", "energy_ev_per_atom": -9.80, "n_ef_per_ev_atom": 1.2155, "formation_energy_mev_per_atom": -45, "cell": [[2.612, 1.508, 9.158], [-2.612, 1.508, 9.158], [0.000, -3.016, 9.158]], "species": ["Sm", "Pa", "Pa", "Tc", "Tc", "Tc", "Tc", "Tc", "Tc", "Tc", "Tc", "Tc"], "frac_coords": [[0.000, 0.000, 0.000], [0.146, 0.146, 0.146], [0.854, 0.854, 0.854], [0.076, 0.585, 0.585], [0.337, 0.337, 0.337], [0.415, 0.415, 0.924], [0.415, 0.924, 0.415], [0.500, 0.500, 0.500], [0.585, 0.076, 0.585], [0.585, 0.585, 0.076], [0.663, 0.663, 0.663], [0.924, 0.415, 0.415]]}



Record 7
{"formula": "Pa2TeMo", "functional": "PBE", "state": "optimized geometry", "spacegroup": "No. 166", "energy_ev_per_atom": -8.39, "formation_energy_uncorrected_ev_per_atom": -0.154, "n_ef_per_ev_atom": 0.8838, "polymorph_energy_mev_per_atom": 36, "cell": [[2.036, 1.175, 7.430], [-2.036, 1.175, 7.430], [0.000, -2.351, 7.430]], "species": ["Pa", "Pa", "Te", "Mo"], "frac_coords": [[0.234, 0.234, 0.234], [0.766, 0.766, 0.766], [0.000, 0.000, 0.000], [0.500, 0.500, 0.500]]}



Record 8
{"formula": "Th3PaC4", "functional": "PBE", "state": "optimized geometry", "spacegroup": "No. 65", "energy_ev_per_atom": -8.90, "n_ef_per_ev_atom": 0.4812, "formation_energy_mev_per_atom": -315, "cell": [[3.733, -5.308, 0.000], [3.733, 5.308, 0.000], [0.000, 0.000, 3.732]], "species": ["Th", "Th", "Th", "Pa", "C", "C", "C", "C"], "frac_coords": [[0.000, 0.000, 0.000], [0.000, 0.500, 0.500], [0.500, 0.000, 0.500], [0.500, 0.500, 0.000], [0.259, 0.741, 0.000], [0.269, 0.269, 0.500], [0.731, 0.731, 0.500], [0.741, 0.259, 0.000]]}